A plane-wave DFT calculation with PBE was carried out for a geometry-optimized Rb2Hg5Au structure.

Calculated values
Energy relative to the lowest polymorph listed for this composition   0 meV/atom
Total moment   0.00 μB per cell
DOS(E_F)   5.9 states/eV/cell
Formation enthalpy at 0 K   -226 meV per atom
Raw total energy   -1.07 eV per atom

a = 9.8935 Å, b = 9.8935 Å, c = 10.6510 Å
α = 90.00°, β = 90.00°, γ = 148.93°
Fractional coordinates of all 16 atoms:
Rb (0.0000, 0.0000, 0.0000)
Rb (0.0000, 0.0000, 0.5000)
Rb (0.1981, 0.8019, 0.7500)
Rb (0.8019, 0.1981, 0.2500)
Hg (0.1925, 0.8075, 0.1071)
Hg (0.1925, 0.8075, 0.3929)
Hg (0.3519, 0.6481, 0.0258)
Hg (0.3519, 0.6481, 0.4742)
Hg (0.4099, 0.5901, 0.7500)
Hg (0.5901, 0.4099, 0.2500)
Hg (0.6481, 0.3519, 0.5258)
Hg (0.6481, 0.3519, 0.9742)
Hg (0.8075, 0.1925, 0.6071)
Hg (0.8075, 0.1925, 0.8929)
Au (0.4380, 0.5620, 0.2500)
Au (0.5620, 0.4380, 0.7500)